# 1
Below is an optimized crystal structure of PrHg2Pt, with properties calculated at the PBE-GGA level.

Cell: 3.304 3.304 10.760 Å, 81.17 81.17 60.00°
Fractional positions:
Pr: 0.000 0.000 0.000
Hg: 0.099 0.099 0.703
Hg: 0.901 0.901 0.297
Pt: 0.500 0.500 0.500

Results
The energy of formation from the pure elements comes out at 0.218 eV per atom. Its space-group type is R-3m.


# 2
Below is an optimized crystal structure of NdTm12In3, with properties calculated at the PBE-GGA level.

Cell: 4.814 4.814 19.593 Å, 90.00 90.00 90.00°
Fractional positions:
Nd: 0.000 0.000 0.000
Tm: 0.500 0.500 0.000
Tm: 0.500 0.500 0.257
Tm: 0.500 0.500 0.500
Tm: 0.500 0.500 0.743
Tm: 0.500 0.000 0.132
Tm: 0.500 0.000 0.378
Tm: 0.500 0.000 0.622
Tm: 0.500 0.000 0.868
Tm: 0.000 0.500 0.132
Tm: 0.000 0.500 0.378
Tm: 0.000 0.500 0.622
Tm: 0.000 0.500 0.868
In: 0.000 0.000 0.257
In: 0.000 0.000 0.500
In: 0.000 0.000 0.743

Results
The energy of formation from the pure elements comes out at -0.179 eV per atom. Its space-group type is P4/mmm.


# 3
Below is an optimized crystal structure of Y2Tm3Ga2, with properties calculated at the PBE-GGA level.

Cell: 3.764 6.607 8.727 Å, 113.22 90.00 106.55°
Fractional positions:
Y: 0.855 0.710 0.194
Y: 0.145 0.290 0.806
Tm: 0.500 0.000 0.000
Tm: 0.613 0.227 0.439
Tm: 0.387 0.773 0.561
Ga: 0.821 0.642 0.781
Ga: 0.179 0.358 0.219

Results
The energy of formation from the pure elements comes out at -0.347 eV per atom. Its space-group type is C2/m.


# 4
Below is an optimized crystal structure of Li2O, with properties calculated at the PBE-GGA level.

Cell: 3.289 3.289 3.289 Å, 60.00 60.00 60.00°
Fractional positions:
O: 0.000 0.000 0.000
Li: 0.750 0.750 0.750
Li: 0.250 0.250 0.250

Results
The raw formation energy is -176 kJ per mole of atoms. Its space-group type is Fm-3m.


# 5
Below is an optimized crystal structure of InTc2As, with properties calculated at the PBE-GGA level.

Cell: 3.813 3.049 6.014 Å, 72.92 90.00 90.00°
Fractional positions:
As: 0.500 0.250 0.250
Tc: 0.000 0.111 0.033
Tc: 0.000 0.389 0.467
In: 0.500 0.750 0.750

Results
The energy of formation from the pure elements comes out at 0.187 eV per atom. Its space-group type is P2/m.


# 6
Below is an optimized crystal structure of CrFeAu2, with properties calculated at the PBE-GGA level.

Cell: 2.950 3.660 5.969 Å, 90.00 90.00 90.00°
Each line ends with the local moment (μB).
Fractional positions:
Au: 0.000 0.000 0.993  0.07
Au: 0.000 0.000 0.507  0.07
Cr: 0.500 0.500 0.250  3.40
Fe: 0.500 0.500 0.750  2.99

Results
The energy of formation from the pure elements comes out at 0.263 eV per atom. Its space-group type is Pmmm.


# 7
Below is an optimized crystal structure of TiNb2Pd, with properties calculated at the PBE-GGA level.

Cell: 3.281 3.281 6.372 Å, 90.00 90.00 90.00°
Fractional positions:
Ti: 0.000 0.000 0.496
Nb: 0.000 0.000 0.008
Nb: 0.500 0.500 0.253
Pd: 0.500 0.500 0.743

Results
The energy of formation from the pure elements comes out at -0.232 eV per atom. Its space-group type is P4mm.


# 8
Below is an optimized crystal structure of Na2AlCrTc, with properties calculated at the PBE-GGA level.

Cell: 5.151 5.017 5.151 Å, 90.00 90.00 90.00°
Each line ends with the local moment (μB).
Fractional positions:
Cr: 0.000 0.000 0.000  3.96
Na: 0.000 0.000 0.500  0.01
Na: 0.500 0.000 0.000  0.02
Tc: 0.500 0.500 0.500  3.35
Al: 0.000 0.500 0.000  -0.04

Results
The energy of formation from the pure elements comes out at 1.570 eV per atom. Its space-group type is P4/mmm.


# 9
Below is an optimized crystal structure of Pd2PbF6, with properties calculated at the PBE-GGA level.

Cell: 6.886 7.337 7.337 Å, 52.08 89.08 89.08°
Fractional positions:
Pd: 0.001 0.753 0.751
Pd: 0.499 0.249 0.247
Pd: 0.999 0.247 0.249
Pd: 0.501 0.751 0.753
Pb: 0.250 0.252 0.748
Pb: 0.750 0.748 0.252
F: 0.251 0.920 0.591
F: 0.249 0.409 0.080
F: 0.749 0.080 0.409
F: 0.751 0.591 0.920
F: 0.503 0.597 0.602
F: 0.997 0.398 0.403
F: 0.497 0.403 0.398
F: 0.003 0.602 0.597
F: 0.998 0.903 0.904
F: 0.502 0.096 0.097
F: 0.002 0.097 0.096
F: 0.498 0.904 0.903

Results
The raw formation energy is -150 kJ per mole of atoms. Its space-group type is C2/c.


# 10
Below is an optimized crystal structure of NaAgN2, with properties calculated at the PBE-GGA level.

Cell: 6.792 6.792 6.792 Å, 28.00 28.00 28.00°
Fractional positions:
Na: 0.000 0.000 0.000
Ag: 0.500 0.500 0.500
N: 0.885 0.885 0.885
N: 0.115 0.115 0.115

Results
The raw formation energy is 132 kJ per mole of atoms. Its space-group type is R-3m.


# 11
Below is an optimized crystal structure of Pr2Sm3Tm7, with properties calculated at the PBE-GGA level.

Cell: 3.604 5.678 19.216 Å, 98.50 90.00 90.00°
Fractional positions:
Pr: 0.000 0.854 0.708
Pr: 0.000 0.146 0.292
Sm: 0.500 0.500 0.000
Sm: 0.500 0.686 0.373
Sm: 0.500 0.314 0.627
Tm: 0.000 0.412 0.823
Tm: 0.000 0.770 0.539
Tm: 0.000 0.000 0.000
Tm: 0.000 0.588 0.177
Tm: 0.500 0.070 0.140
Tm: 0.500 0.930 0.860
Tm: 0.000 0.230 0.461

Results
The energy of formation from the pure elements comes out at 0.111 eV per atom. Its space-group type is Cmmm.


| no. | raw total energy (eV per cell) |
| --- | --- |
| 1 | -10.6 |
| 2 | -69.5 |
| 3 | -34.8 |
| 4 | -14.3 |
| 5 | -27.4 |
| 6 | -23.6 |
| 7 | -34.2 |
| 8 | -18.5 |
| 9 | -78.6 |
| 10 | -15.3 |
| 11 | -53.7 |